The following is a PBE-GGA calculation of an optimized crystal structure of Sb2PtCl, from Alexandria via LeMat-Bulk.

The calculation puts the volume at 23.000 Å³/atom. As for the energy relative to the elements, uncorrected: 103 meV per atom.

The space group is Pmmm (No. 47) and the conventional cell measures 3.2917, 4.5245 and 6.1771 Å, with angles of 90.00, 90.00 and 90.00 degrees. The asymmetric unit holds Sb at (0.0000, 0.0000, 0.0000), Sb at (0.5000, 0.0000, 0.5000), Pt at (0.0000, 0.5000, 0.5000) and Cl at (0.5000, 0.5000, 0.0000).